The following is a DFT calculation (PBE-GGA) of a relaxed Re2TeAu crystal.

**Formation energy without anion corrections**: 746 meV/atom
**DOS at the Fermi energy**: 0.8744 states/eV/atom
**Crystal system**: orthorhombic
**Size of the total moment**: 0.000 μB per formula unit
**Raw total energy**: -7.08 eV per atom
**Symmetry**: Imm2 (44)

a b c (Å): 2.943 4.734 10.864
angles (deg): 90.00 90.00 90.00
Sites, in units of the cell vectors:
1 Re 0.000 0.000 0.000
2 Re 0.000 0.500 0.313
3 Re 0.500 0.000 0.813
4 Re 0.500 0.500 0.500
5 Te 0.000 0.500 0.730
6 Te 0.500 0.000 0.230
7 Au 0.000 0.000 0.527
8 Au 0.500 0.500 0.027